Record 1
Here is a relaxed structure of KAg from Alexandria via LeMat-Bulk. Energies are from GGA-PBEsol.

Cell lengths 4.7653, 4.7653, 7.7884 Å; angles 90.00, 90.00, 120.00 degrees
Last column: nearest neighbours and their distance in Å.
Fractional coordinates of all 4 atoms:
K  0.3333  0.6667  0.2500  6 Ag 3.37
K  0.6667  0.3333  0.7500  6 Ag 3.37
Ag  0.0000  0.0000  0.0000  6 K 3.37
Ag  0.0000  0.0000  0.5000  6 K 3.37

Results
**Energy relative to the elements**: 0.318 eV per atom
**Calculated total energy**: -1.904 eV per atom
**Energy above the most stable polymorph in this dataset**: 227 meV per atom
**Symmetry**: P6_3/mmc, No. 194

=====

Record 2
Here is a relaxed structure of KAg3 from Alexandria via LeMat-Bulk. Energies are from GGA-PBEsol.

Cell lengths 4.6765, 7.4534, 6.1427 Å; angles 90.00, 90.00, 90.00 degrees
Last column: nearest neighbours and their distance in Å.
Fractional coordinates of all 8 atoms:
K  0.2500  0.2500  0.1104  4 Ag 3.27-3.47
K  0.7500  0.7500  0.8896  4 Ag 3.27-3.47
Ag  0.2500  0.0638  0.5926  6 Ag 2.74-2.78
Ag  0.2500  0.4362  0.5926  6 Ag 2.74-2.78
Ag  0.2500  0.7500  0.3579  6 Ag 2.74-2.75
Ag  0.7500  0.2500  0.6421  6 Ag 2.74-2.75
Ag  0.7500  0.5638  0.4074  6 Ag 2.74-2.78
Ag  0.7500  0.9362  0.4074  6 Ag 2.74-2.78

Results
**Energy relative to the elements**: 0.107 eV per atom
**Calculated total energy**: -2.660 eV per atom
**Symmetry**: Pmmn, No. 59

=====

Record 3
Here is a relaxed structure of K4Ag from Alexandria via LeMat-Bulk. Energies are from GGA-PBEsol.

Cell lengths 10.9543, 10.9543, 4.3170 Å; angles 90.00, 90.00, 90.00 degrees
Last column: nearest neighbours and their distance in Å.
Fractional coordinates of all 10 atoms:
K  0.0588  0.2486  0.0000  2 Ag 3.53, 2 K 3.96
K  0.2486  0.9412  0.0000  2 Ag 3.53, 2 K 3.96
K  0.2514  0.5588  0.5000  2 Ag 3.53, 2 K 3.96
K  0.4412  0.2514  0.5000  2 Ag 3.53, 2 K 3.96
K  0.5588  0.7486  0.5000  2 Ag 3.53, 2 K 3.96
K  0.7486  0.4412  0.5000  2 Ag 3.53, 2 K 3.96
K  0.7514  0.0588  0.0000  2 Ag 3.53, 2 K 3.96
K  0.9412  0.7514  0.0000  2 Ag 3.53, 2 K 3.96
Ag  0.0000  0.0000  0.5000  8 K 3.53
Ag  0.5000  0.5000  0.0000  8 K 3.53

Results
**Energy relative to the elements**: 0.094 eV per atom
**Calculated total energy**: -1.475 eV per atom
**Energy above the most stable polymorph in this dataset**: 0 meV per atom
**Symmetry**: I4/m, No. 87

=====

Record 4
Here is a relaxed structure of KAg2 from Alexandria via LeMat-Bulk. Energies are from GGA-PBEsol.

Cell lengths 11.7173, 5.5609, 4.7596 Å; angles 90.00, 90.00, 90.00 degrees
Last column: nearest neighbours and their distance in Å.
Fractional coordinates of all 12 atoms:
K  0.0000  0.2401  0.2500  4 Ag 3.22-3.45, 2 K 3.58
K  0.0000  0.7599  0.7500  4 Ag 3.22-3.45, 2 K 3.58
K  0.5000  0.2599  0.7500  4 Ag 3.22-3.45, 2 K 3.58
K  0.5000  0.7401  0.2500  4 Ag 3.22-3.45, 2 K 3.58
Ag  0.2303  0.3720  0.7500  6 Ag 2.77-2.82
Ag  0.2303  0.6280  0.2500  6 Ag 2.77-2.82
Ag  0.2697  0.1280  0.2500  6 Ag 2.77-2.82
Ag  0.2697  0.8720  0.7500  6 Ag 2.77-2.82
Ag  0.7303  0.1280  0.2500  6 Ag 2.77-2.82
Ag  0.7303  0.8720  0.7500  6 Ag 2.77-2.82
Ag  0.7697  0.3720  0.7500  6 Ag 2.77-2.82
Ag  0.7697  0.6280  0.2500  6 Ag 2.77-2.82

Results
**Energy relative to the elements**: 0.056 eV per atom
**Calculated total energy**: -2.529 eV per atom
**Symmetry**: Cmcm, No. 63

=====

Record 5
Here is a relaxed structure of KAg from Alexandria via LeMat-Bulk. Energies are from GGA-PBEsol.

Cell lengths 3.9593, 3.9593, 3.9593 Å; angles 90.00, 90.00, 90.00 degrees
Last column: nearest neighbours and their distance in Å.
Fractional coordinates of all 2 atoms:
K  0.0000  0.0000  0.0000  8 Ag 3.43
Ag  0.5000  0.5000  0.5000  8 K 3.43

Results
**Energy relative to the elements**: 0.227 eV per atom
**Calculated total energy**: -1.996 eV per atom
**Energy above the most stable polymorph in this dataset**: 135 meV per atom
**Symmetry**: Pm-3m, No. 221

=====

Record 6
Here is a relaxed structure of KAg from Alexandria via LeMat-Bulk. Energies are from GGA-PBEsol.

Cell lengths 4.6488, 5.5004, 9.5408 Å; angles 90.00, 90.00, 90.00 degrees
Last column: nearest neighbours and their distance in Å.
Fractional coordinates of all 8 atoms:
K  0.0000  0.2500  0.1023  4 K 3.37-3.65, 8 Ag 3.46-3.67
K  0.0000  0.7500  0.8977  4 K 3.37-3.65, 8 Ag 3.46-3.67
K  0.5000  0.2500  0.3977  4 K 3.37-3.65, 8 Ag 3.46-3.67
K  0.5000  0.7500  0.6023  4 K 3.37-3.65, 8 Ag 3.46-3.67
Ag  0.0000  0.2500  0.6768  2 Ag 2.71
Ag  0.0000  0.7500  0.3232  2 Ag 2.71
Ag  0.5000  0.2500  0.8232  2 Ag 2.71
Ag  0.5000  0.7500  0.1768  2 Ag 2.71

Results
**Energy relative to the elements**: 0.162 eV per atom
**Calculated total energy**: -2.061 eV per atom
**Energy above the most stable polymorph in this dataset**: 70 meV per atom
**Symmetry**: Imma, No. 74

=====

Record 7
Here is a relaxed structure of K3Ag4 from Alexandria via LeMat-Bulk. Energies are from GGA-PBEsol.

Cell lengths 3.7379, 3.7379, 30.7253 Å; angles 90.00, 90.00, 90.00 degrees
Last column: nearest neighbours and their distance in Å.
Fractional coordinates of all 14 atoms:
K  0.0000  0.0000  0.0000  2 Ag 3.21
K  0.0000  0.0000  0.3147  1 Ag 3.15
K  0.0000  0.0000  0.6853  1 Ag 3.15
K  0.5000  0.5000  0.1853  1 Ag 3.15
K  0.5000  0.5000  0.5000  2 Ag 3.21
K  0.5000  0.5000  0.8147  1 Ag 3.15
Ag  0.0000  0.0000  0.1045  4 Ag 2.73
Ag  0.0000  0.0000  0.4174  4 Ag 2.73
Ag  0.0000  0.0000  0.5826  4 Ag 2.73
Ag  0.0000  0.0000  0.8955  4 Ag 2.73
Ag  0.5000  0.5000  0.0826  4 Ag 2.73
Ag  0.5000  0.5000  0.3955  4 Ag 2.73
Ag  0.5000  0.5000  0.6045  4 Ag 2.73
Ag  0.5000  0.5000  0.9174  4 Ag 2.73

Results
**Energy relative to the elements**: 0.162 eV per atom
**Calculated total energy**: -2.216 eV per atom
**Symmetry**: I4/mmm, No. 139

=====

Record 8
Here is a relaxed structure of KAg2 from Alexandria via LeMat-Bulk. Energies are from GGA-PBEsol.

Cell lengths 4.6532, 4.6532, 4.5083 Å; angles 90.00, 90.00, 120.00 degrees
Last column: nearest neighbours and their distance in Å.
Fractional coordinates of all 3 atoms:
K  0.0000  0.0000  0.0000  12 Ag 3.51
Ag  0.3333  0.6667  0.5000  3 Ag 2.69
Ag  0.6667  0.3333  0.5000  3 Ag 2.69

Results
**Energy relative to the elements**: 0.200 eV per atom
**Calculated total energy**: -2.385 eV per atom
**Symmetry**: P6/mmm, No. 191

=====

Record 9
Here is a relaxed structure of K8Ag from Alexandria via LeMat-Bulk. Energies are from GGA-PBEsol.

Cell lengths 10.9544, 10.9544, 10.9544 Å; angles 92.62, 92.62, 155.32 degrees
Last column: nearest neighbours and their distance in Å.
Fractional coordinates of all 9 atoms:
K  0.0000  0.3323  0.3323  10 K 4.29-4.68
K  0.0000  0.6677  0.6677  10 K 4.29-4.68
K  0.3323  0.0000  0.3323  10 K 4.29-4.68
K  0.3659  0.3659  0.7317  2 Ag 3.70, 2 K 4.06
K  0.3659  0.6341  0.0000  2 Ag 3.70, 2 K 4.06
K  0.6341  0.3659  0.0000  2 Ag 3.70, 2 K 4.06
K  0.6341  0.6341  0.2683  2 Ag 3.70, 2 K 4.06
K  0.6677  0.0000  0.6677  10 K 4.29-4.68
Ag  0.0000  0.0000  0.0000  8 K 3.70

Results
**Energy relative to the elements**: 0.087 eV per atom
**Calculated total energy**: -1.288 eV per atom
**Symmetry**: I4/mmm, No. 139

=====

Record 10
Here is a relaxed structure of K2Ag from Alexandria via LeMat-Bulk. Energies are from GGA-PBEsol.

Cell lengths 5.9362, 5.9362, 7.5101 Å; angles 90.00, 90.00, 120.00 degrees
Last column: nearest neighbours and their distance in Å.
Fractional coordinates of all 6 atoms:
K  0.0000  0.0000  0.0000  8 K 3.76-3.91, 6 Ag 3.91
K  0.0000  0.0000  0.5000  8 K 3.76-3.91, 6 Ag 3.91
K  0.3333  0.6667  0.2500  5 Ag 3.43-3.76
K  0.6667  0.3333  0.7500  5 Ag 3.43-3.76
Ag  0.3333  0.6667  0.7500  5 K 3.43-3.76
Ag  0.6667  0.3333  0.2500  5 K 3.43-3.76

Results
**Energy relative to the elements**: 0.165 eV per atom
**Calculated total energy**: -1.694 eV per atom
**Symmetry**: P6_3/mmc, No. 194

=====

Record 11
Here is a relaxed structure of K2Ag from Alexandria via LeMat-Bulk. Energies are from GGA-PBEsol.

Cell lengths 8.0990, 8.0990, 8.0990 Å; angles 90.00, 90.00, 90.00 degrees
Last column: nearest neighbours and their distance in Å.
Fractional coordinates of all 12 atoms:
K  0.2500  0.2500  0.2500  4 Ag 3.51
K  0.2500  0.2500  0.7500  4 Ag 3.51
K  0.2500  0.7500  0.2500  4 Ag 3.51
K  0.2500  0.7500  0.7500  4 Ag 3.51
K  0.7500  0.2500  0.2500  4 Ag 3.51
K  0.7500  0.2500  0.7500  4 Ag 3.51
K  0.7500  0.7500  0.2500  4 Ag 3.51
K  0.7500  0.7500  0.7500  4 Ag 3.51
Ag  0.0000  0.0000  0.0000  8 K 3.51
Ag  0.0000  0.5000  0.5000  8 K 3.51
Ag  0.5000  0.0000  0.5000  8 K 3.51
Ag  0.5000  0.5000  0.0000  8 K 3.51

Results
**Energy relative to the elements**: 0.179 eV per atom
**Calculated total energy**: -1.680 eV per atom
**Symmetry**: Fm-3m, No. 225

=====

Record 12
Here is a relaxed structure of KAg2 from Alexandria via LeMat-Bulk. Energies are from GGA-PBEsol.

Cell lengths 4.6174, 4.6174, 16.0701 Å; angles 90.00, 90.00, 90.00 degrees
Last column: nearest neighbours and their distance in Å.
Fractional coordinates of all 12 atoms:
K  0.0000  0.2500  0.3750  12 Ag 3.53-3.54
K  0.0000  0.7500  0.6250  12 Ag 3.53-3.54
K  0.5000  0.2500  0.1250  12 Ag 3.53-3.54
K  0.5000  0.7500  0.8750  12 Ag 3.53-3.54
Ag  0.0000  0.2500  0.7918  3 Ag 2.67-2.68
Ag  0.0000  0.2500  0.9582  3 Ag 2.67-2.68
Ag  0.0000  0.7500  0.0418  3 Ag 2.67-2.68
Ag  0.0000  0.7500  0.2082  3 Ag 2.67-2.68
Ag  0.5000  0.2500  0.5418  3 Ag 2.67-2.68
Ag  0.5000  0.2500  0.7082  3 Ag 2.67-2.68
Ag  0.5000  0.7500  0.2918  3 Ag 2.67-2.68
Ag  0.5000  0.7500  0.4582  3 Ag 2.67-2.68

Results
**Energy relative to the elements**: 0.200 eV per atom
**Calculated total energy**: -2.385 eV per atom
**Symmetry**: I4_1/amd, No. 141